# TcAg2PdS GGA-PBE relaxed
data_TcAg2PdS
_chemical_formula_sum 'Tc1 Ag2 Pd1 S1'
_space_group_name_H-M_alt 'P 4/m m m'
_space_group_IT_number 123
_space_group_name_Hall '-P 4 2'
_cell_length_a 4.6663
_cell_length_b 4.6663
_cell_length_c 4.3727
_cell_angle_alpha 90.00
_cell_angle_beta 90.00
_cell_angle_gamma 90.00
loop_
_atom_site_label
_atom_site_type_symbol
_atom_site_fract_x
_atom_site_fract_y
_atom_site_fract_z
Tc1 Tc 0.0000 0.0000 0.0000
Ag1 Ag 0.0000 0.5000 0.5000
Pd1 Pd 0.5000 0.5000 0.0000
S1 S 0.0000 0.0000 0.5000
# Magnetic moment in μB/cell: 1.2
# Formation energy from raw total energies in kJ/mol of atoms: 59.7